First-principles (PBE+U) data for crystalline MnGePbO5 at its relaxed geometry, as listed in Alexandria.

Properties
Calculated density (g cm⁻³): 6.32
Calculated volume (Å³ per cell): 218.0
Total energy (eV per atom): -6.3966
SG: No. 15

POSCAR file:
```
MnGePbO5
1.0
5.6862 0.0701 -0.0463
-1.5928 5.4590 -0.0463
-1.7180 -2.3205 7.0364
Mn Ge Pb O
2 2 2 10
Direct
0.3402 0.6598 0.2500
0.6598 0.3402 0.7500
0.6770 0.3230 0.2500
0.3230 0.6770 0.7500
0.0000 0.0000 0.5000
0.0000 0.0000 0.0000
0.1099 0.8901 0.2500
0.8901 0.1099 0.7500
0.9321 0.3489 0.1500
0.0679 0.6511 0.8500
0.6511 0.0679 0.3500
0.3489 0.9321 0.6500
0.7062 0.6129 0.4215
0.2938 0.3871 0.5785
0.3871 0.2938 0.0785
0.6129 0.7062 0.9215
```